# Cs2NpSnS5 | Alexandria via LeMat-Bulk | GGA-PBE | optimized geometry
data_Cs2NpSnS5
_chemical_formula_sum 'Cs4 Np2 Sn2 S10'
_cell_length_a 4.170
_cell_length_b 10.257
_cell_length_c 15.021
_cell_angle_alpha 90.00
_cell_angle_beta 90.00
_cell_angle_gamma 101.73
_space_group_name_H-M_alt 'P 1'
_space_group_IT_number 1
loop_
_space_group_symop_operation_xyz
'x,y,z'
loop_
_atom_site_label
_atom_site_type_symbol
_atom_site_fract_x
_atom_site_fract_y
_atom_site_fract_z
_atom_site_occupancy
S1 S 0.497 0.993 0.296 1
Np1 Np 0.796 0.592 0.529 1
Np2 Np 0.204 0.408 0.029 1
Sn1 Sn 0.437 0.874 0.428 1
S2 S 0.058 0.117 0.027 1
S3 S 0.942 0.883 0.527 1
S4 S 0.703 0.405 0.138 1
Sn2 Sn 0.563 0.126 0.928 1
S5 S 0.315 0.630 0.403 1
S6 S 0.685 0.370 0.903 1
S7 S 0.297 0.595 0.638 1
S8 S 0.503 0.007 0.796 1
S9 S 0.675 0.350 0.504 1
Cs1 Cs 0.119 0.237 0.676 1
Cs2 Cs 0.881 0.763 0.176 1
Cs3 Cs 0.137 0.274 0.321 1
Cs4 Cs 0.863 0.726 0.821 1
S10 S 0.325 0.650 0.004 1
# calculated volume = 34.95 Å³ per atom
# uncorrected energy = -0.3935 Ry per atom
# formation energy from raw total energies = -0.988 eV/atom



# ZnH2Rh | Alexandria via LeMat-Bulk | GGA-PBE | optimized geometry
data_ZnH2Rh
_chemical_formula_sum 'Zn1 H2 Rh1'
_cell_length_a 3.024
_cell_length_b 3.024
_cell_length_c 4.711
_cell_angle_alpha 71.28
_cell_angle_beta 71.28
_cell_angle_gamma 60.00
_space_group_name_H-M_alt 'P 1'
_space_group_IT_number 1
loop_
_space_group_symop_operation_xyz
'x,y,z'
loop_
_atom_site_label
_atom_site_type_symbol
_atom_site_fract_x
_atom_site_fract_y
_atom_site_fract_z
_atom_site_occupancy
Zn1 Zn 0.500 0.500 0.500 1
H1 H 0.719 0.719 0.844 1
Rh1 Rh 0.000 0.000 0.000 1
H2 H 0.281 0.281 0.156 1
# calculated volume = 8.67 Å³ per atom
# uncorrected energy = -0.2835 Ry per atom



# BaReAg2 | Alexandria via LeMat-Bulk | GGA-PBE | optimized geometry
data_BaReAg2
_chemical_formula_sum 'Ba1 Re1 Ag2'
_cell_length_a 6.493
_cell_length_b 6.493
_cell_length_c 6.493
_cell_angle_alpha 153.58
_cell_angle_beta 129.17
_cell_angle_gamma 58.19
_space_group_name_H-M_alt 'P 1'
_space_group_IT_number 1
loop_
_space_group_symop_operation_xyz
'x,y,z'
loop_
_atom_site_label
_atom_site_type_symbol
_atom_site_fract_x
_atom_site_fract_y
_atom_site_fract_z
_atom_site_occupancy
Ag1 Ag 0.040 0.040 0.000 1
Re1 Re 0.250 0.750 0.500 1
Ba1 Ba 0.750 0.250 0.500 1
Ag2 Ag 0.460 0.460 0.000 1
# calculated volume = 23.47 Å³ per atom
# uncorrected energy = -0.3037 Ry per atom
# formation enthalpy at 0 K = 0.887 eV/atom